[1]
Ho3GaFe8: relaxed, PBE.

Calculated values
As for the crystal system: trigonal. The calculation puts the formation enthalpy at 0 K at -107 meV/atom. For the total energy, the calculation gives -7.145 eV per atom. Its symmetry is R3m (160). The density of states at the Fermi level is 12.31 states/eV/f.u.

Geometry as POSCAR:
```
Ho3GaFe8
1.0
-1.284 4.622 1.513
-4.296 0.720 2.516
2.084 0.558 8.426
Ga Fe Ho
1 8 3
Direct
0.127 0.127 0.618 Ga
0.812 0.812 0.563 Fe
0.564 0.564 0.807 Fe
0.061 0.558 0.319 Fe
0.061 0.061 0.319 Fe
0.564 0.064 0.807 Fe
0.558 0.061 0.319 Fe
0.064 0.564 0.807 Fe
0.312 0.312 0.065 Fe
0.624 0.624 0.127 Ho
0.004 0.004 0.987 Ho
0.497 0.497 0.510 Ho
```

=====

[2]
TlFeW: relaxed, PBE.

Calculated values
As for the crystal system: trigonal. The calculation puts the formation enthalpy at 0 K at 717 meV/atom. For the total energy, the calculation gives -7.210 eV per atom. The energy above the most stable polymorph in this dataset comes out at 101.7 meV per atom. Its symmetry is P3m1 (156). The density of states at the Fermi level is 2.28 states/eV/f.u.

Geometry as POSCAR:
```
TlFeW
1.0
-1.563 1.748 -1.922
-0.711 -2.931 0.304
-4.256 1.536 4.857
Tl Fe W
1 1 1
Direct
0.667 0.333 0.323 Tl
0.000 0.000 0.970 Fe
0.333 0.667 0.707 W
```

=====

[3]
Mg3Ga4Ag4: relaxed, PBE.

Calculated values
As for the crystal system: triclinic. The calculation puts the formation enthalpy at 0 K at -129 meV/atom. For the total energy, the calculation gives -2.702 eV per atom. The energy above the most stable polymorph in this dataset comes out at 0.0 meV per atom. Its symmetry is P-1 (2). The density of states at the Fermi level is 3.45 states/eV/f.u.

Geometry as POSCAR:
```
Mg3Ga4Ag4
1.0
0.261 -2.942 0.865
-0.279 -1.392 -4.416
14.029 -1.087 -2.952
Ga Ag Mg
4 4 3
Direct
0.461 0.454 0.091 Ga
0.321 0.816 0.367 Ga
0.679 0.184 0.633 Ga
0.539 0.547 0.909 Ga
0.265 0.269 0.462 Ag
0.422 0.909 0.181 Ag
0.735 0.731 0.538 Ag
0.578 0.091 0.819 Ag
0.866 0.362 0.276 Mg
0.134 0.638 0.724 Mg
0.000 0.000 0.000 Mg
```

=====

[4]
LiCrP2Cl: relaxed, PBE.

Calculated values
As for the crystal system: tetragonal. For the total energy, the calculation gives -3.851 eV per atom. The energy above the most stable polymorph in this dataset comes out at 1135.0 meV per atom. Its symmetry is P4/mmm (123). The energy relative to the elements, uncorrected is 0.9895 eV per atom. The density of states at the Fermi level is 5.65 states/eV/f.u.

Geometry as POSCAR:
```
LiCrP2Cl
1.0
4.300 0.000 0.000
0.000 4.300 0.000
0.000 0.000 4.555
P Cr Li Cl
2 1 1 1
Direct
0.500 0.000 0.000 P
0.000 0.500 0.000 P
0.500 0.500 0.500 Cr
0.000 0.000 0.000 Li
0.000 0.000 0.500 Cl
```